The following is a PBE calculation of crystalline Cs5AgH6 at its relaxed geometry, from Alexandria via LeMat-Bulk.

Lattice parameters (Å, degrees): 7.500 7.631 7.589 59.82 82.75 75.46
Sites, in units of the cell vectors:
Cs 0.500 0.154 0.691
Cs 0.000 0.300 0.400
Cs 0.500 0.500 0.000
Cs 0.000 0.700 0.600
Cs 0.500 0.846 0.309
Ag 0.000 0.000 0.000
H 0.713 0.107 0.361
H 0.287 0.532 0.361
H 0.138 0.151 0.000
H 0.862 0.849 0.000
H 0.713 0.468 0.639
H 0.287 0.893 0.639

Output
The space group is C2/m. Its total energy is -2.35 eV per atom. As for the magnetic moment: 0.0 μB per formula unit.